1.
First-principles (GGA+U) data for a relaxed CoHgC2O6 crystal, as listed in the Alexandria database.

```
data_CoHgC2O6
_chemical_formula_sum 'Co3 Hg3 C6 O18'
_space_group_name_H-M_alt 'R -3'
_space_group_IT_number 148
_space_group_name_Hall '-R 3'
_cell_length_a 4.9023
_cell_length_b 4.9023
_cell_length_c 16.1425
_cell_angle_alpha 90.00
_cell_angle_beta 90.00
_cell_angle_gamma 120.00
loop_
_atom_site_label
_atom_site_type_symbol
_atom_site_fract_x
_atom_site_fract_y
_atom_site_fract_z
Co1 Co 0.0000 0.0000 0.0000
Hg1 Hg 0.0000 0.0000 0.5000
C1 C 0.0000 0.0000 0.2578
O1 O 0.0308 0.7518 0.7428
```

Results
- Calculated total energy: -6.47 eV per atom
- Magnetic moment: 8.927 μB per cell

2.
First-principles (GGA+U) data for a relaxed CoHgCO2 crystal, as listed in the Alexandria database.

```
data_CoHgCO2
_chemical_formula_sum 'Co1 Hg1 C1 O2'
_space_group_name_H-M_alt 'P 4/m m m'
_space_group_IT_number 123
_space_group_name_Hall '-P 4 2'
_cell_length_a 4.048
_cell_length_b 4.048
_cell_length_c 3.519
_cell_angle_alpha 90.00
_cell_angle_beta 90.00
_cell_angle_gamma 90.00
loop_
_atom_site_label
_atom_site_type_symbol
_atom_site_fract_x
_atom_site_fract_y
_atom_site_fract_z
Co1 Co 0.000 0.000 0.000
Hg1 Hg 0.500 0.500 0.500
C1 C 0.000 0.000 0.500
O1 O 0.000 0.500 0.000
```

Results
- Calculated total energy: -4.16 eV per atom
- Magnetic moment: 0.650 μB per cell